Run one
VASP calculation (PBE) on Sr2AgCl after structural relaxation.

Unit cell a=8.143 b=8.143 c=8.698 alpha=90.00 beta=90.00 gamma=90.00
Space group I-42d (No. 122)
Symmetry-distinct sites (fractional):
Sr 0.234 0.250 0.125
Ag 0.000 0.000 0.500
Cl 0.000 0.000 0.000

Computed properties:
- N(E_F): 0.42 states/eV/atom

Run two
VASP calculation (PBE) on Sr2AgCl after structural relaxation.

Unit cell a=4.506 b=4.506 c=6.567 alpha=90.00 beta=90.00 gamma=90.00
Space group P4mm (No. 99)
Symmetry-distinct sites (fractional):
Sr 0.000 0.000 0.000
Sr 0.500 0.500 0.500
Ag 0.000 0.000 0.500
Cl 0.500 0.500 0.999

Computed properties:
- N(E_F): 0.90 states/eV/atom

It is run one that is the least stable of them.